<a>
Al2AgPt after structural relaxation. Source: Alexandria, functional GGA-PBE.

Unit cell a=4.433 b=4.433 c=4.433 alpha=60.00 beta=60.00 gamma=60.00
Sites, in units of the cell vectors:
Ag1 0.000 0.000 0.000
Al1 0.250 0.250 0.250
Al2 0.750 0.750 0.750
Pt1 0.500 0.500 0.500


<b>
Al2AgPt after structural relaxation. Source: Alexandria, functional GGA-PBE.

Unit cell a=4.963 b=4.963 c=4.963 alpha=134.08 beta=134.08 gamma=66.96
Sites, in units of the cell vectors:
Pt1 0.500 0.500 0.000
Ag1 0.750 0.250 0.500
Al1 0.250 0.750 0.500
Al2 0.000 0.000 0.000


<a> has the most favorable energy; the next structure is 6.1 kJ/mol of atoms above.


<a>
Al2AgPt after structural relaxation. Source: Alexandria, functional GGA-PBE.

Unit cell a=4.740 b=2.934 c=4.543 alpha=89.99 beta=90.00 gamma=90.00
Sites, in units of the cell vectors:
Pt1 0.000 0.375 0.498
Al1 0.500 0.375 0.239
Ag1 0.500 0.875 0.744
Al2 0.000 0.875 0.019


<b>
Al2AgPt after structural relaxation. Source: Alexandria, functional GGA-PBE.

Unit cell a=4.489 b=4.489 c=4.489 alpha=60.00 beta=60.00 gamma=60.00
Sites, in units of the cell vectors:
Al1 0.000 0.000 0.000
Ag1 0.500 0.500 0.500
Pt1 0.750 0.750 0.750
Al2 0.250 0.250 0.250


<a> has the most favorable energy; the next structure is 23.5 kJ/mol of atoms above.


<a>
Al2AgPt after structural relaxation. Source: Alexandria, functional GGA-PBE.

Unit cell a=2.931 b=5.088 c=5.467 alpha=50.77 beta=90.00 gamma=90.00
Sites, in units of the cell vectors:
Ag1 0.000 0.000 0.500
Al1 0.000 0.000 0.000
Al2 0.500 0.500 0.000
Pt1 0.500 0.500 0.500


<b>
Al2AgPt after structural relaxation. Source: Alexandria, functional GGA-PBE.

Unit cell a=7.228 b=7.228 c=5.804 alpha=51.49 beta=51.49 gamma=90.00
Sites, in units of the cell vectors:
Pt1 0.750 0.250 0.500
Ag1 0.250 0.750 0.500
Al1 0.375 0.340 0.750
Al2 0.660 0.125 0.250
Pt2 0.000 0.000 0.000
Al3 0.875 0.910 0.750
Ag2 0.500 0.500 0.000
Al4 0.090 0.625 0.250


<a> has the most favorable energy; the next structure is 20.5 kJ/mol of atoms above.


<a>
Al2AgPt after structural relaxation. Source: Alexandria, functional GGA-PBE.

Unit cell a=4.535 b=4.535 c=5.145 alpha=79.99 beta=79.99 gamma=37.82
Sites, in units of the cell vectors:
Al1 0.008 0.008 0.979
Ag1 0.250 0.250 0.250
Pt1 0.750 0.750 0.750
Al2 0.492 0.492 0.521


<b>
Al2AgPt after structural relaxation. Source: Alexandria, functional GGA-PBE.

Unit cell a=8.654 b=8.654 c=8.654 alpha=19.66 beta=19.66 gamma=19.66
Sites, in units of the cell vectors:
Al1 0.995 0.995 0.995
Al2 0.505 0.505 0.505
Pt1 0.250 0.250 0.250
Ag1 0.750 0.750 0.750


<a> has the most favorable energy; the next structure is 4.6 kJ/mol of atoms above.


<a>
AlAgPt3 after structural relaxation. Source: Alexandria, functional GGA-PBE.

Unit cell a=4.568 b=4.568 c=4.568 alpha=90.00 beta=90.00 gamma=90.00
Sites, in units of the cell vectors:
Pt1 0.000 0.000 0.500
Pt2 0.000 0.500 0.000
Ag1 0.500 0.500 0.500
Pt3 0.500 0.000 0.000
Al1 0.000 0.000 0.000


<b>
AlAgPt3 after structural relaxation. Source: Alexandria, functional GGA-PBE.

Unit cell a=4.865 b=4.865 c=4.865 alpha=90.00 beta=90.00 gamma=90.00
Sites, in units of the cell vectors:
Pt1 0.000 0.000 0.500
Al1 0.500 0.500 0.500
Ag1 0.000 0.000 0.000
Pt2 0.500 0.000 0.000
Pt3 0.000 0.500 0.000


<a> has the most favorable energy; the next structure is 97.1 kJ/mol of atoms above.


<a>
Al2AgTePt after structural relaxation. Source: Alexandria, functional GGA-PBE.

Unit cell a=4.732 b=5.215 c=4.732 alpha=90.00 beta=90.00 gamma=90.00
Sites, in units of the cell vectors:
Te1 0.500 0.500 0.500
Pt1 0.000 0.500 0.000
Ag1 0.000 0.000 0.000
Al1 0.000 0.000 0.500
Al2 0.500 0.000 0.000


<b>
Al2AgTePt after structural relaxation. Source: Alexandria, functional GGA-PBE.

Unit cell a=4.679 b=5.833 c=4.679 alpha=90.00 beta=90.00 gamma=90.00
Sites, in units of the cell vectors:
Al1 0.500 0.000 0.000
Ag1 0.500 0.500 0.500
Pt1 0.000 0.000 0.000
Te1 0.000 0.500 0.000
Al2 0.000 0.000 0.500


<b> has the most favorable energy; the next structure is 47.3 kJ/mol of atoms above.


<a>
Pu2AlAg3 after structural relaxation. Source: Alexandria, functional GGA-PBE.

Unit cell a=5.741 b=5.741 c=8.926 alpha=90.00 beta=90.00 gamma=120.00
Site moments in Bohr magnetons follow the coordinates.
Sites, in units of the cell vectors:
Pu1 0.667 0.333 0.442  5.47
Ag1 0.833 0.167 0.750  0.02
Pu2 0.667 0.333 0.058  5.47
Al1 0.000 0.000 0.000  -0.03
Ag2 0.167 0.833 0.250  0.02
Ag3 0.167 0.334 0.250  0.02
Pu3 0.333 0.667 0.942  5.47
Ag4 0.334 0.167 0.750  0.02
Al2 0.000 0.000 0.500  -0.03
Ag5 0.833 0.666 0.750  0.02
Pu4 0.333 0.667 0.558  5.47
Ag6 0.666 0.833 0.250  0.02


<b>
Pu2AlAg3 after structural relaxation. Source: Alexandria, functional GGA-PBE.

Unit cell a=5.556 b=5.556 c=5.556 alpha=62.40 beta=62.40 gamma=62.40
Site moments in Bohr magnetons follow the coordinates.
Sites, in units of the cell vectors:
Al1 0.000 0.000 0.000  -0.03
Ag1 0.500 0.000 0.000  0.03
Pu1 0.377 0.377 0.377  5.52
Pu2 0.623 0.623 0.623  5.52
Ag2 0.000 0.000 0.500  0.03
Ag3 0.000 0.500 0.000  0.03


<a> has the most favorable energy; the next structure is 2.7 kJ/mol of atoms above.


<a>
RbAl2Ag2 after structural relaxation. Source: Alexandria, functional GGA-PBE.

Unit cell a=4.921 b=4.921 c=6.234 alpha=66.75 beta=66.75 gamma=90.00
Sites, in units of the cell vectors:
Al1 0.641 0.641 0.718
Ag1 0.750 0.250 0.500
Rb1 0.000 0.000 0.000
Al2 0.359 0.359 0.282
Ag2 0.250 0.750 0.500


<b>
RbAl2Ag2 after structural relaxation. Source: Alexandria, functional GGA-PBE.

Unit cell a=8.738 b=8.738 c=2.863 alpha=90.00 beta=90.00 gamma=90.00
Sites, in units of the cell vectors:
Ag1 0.656 0.156 0.000
Rb1 0.500 0.500 0.000
Rb2 0.000 0.000 0.000
Al1 0.373 0.127 0.500
Al2 0.627 0.873 0.500
Al3 0.127 0.627 0.500
Ag2 0.344 0.844 0.000
Ag3 0.156 0.344 0.000
Ag4 0.844 0.656 0.000
Al4 0.873 0.373 0.500


<a> has the most favorable energy; the next structure is 1.8 kJ/mol of atoms above.


<a>
Rb2Al2Ag after structural relaxation. Source: Alexandria, functional GGA-PBE.

Unit cell a=7.100 b=7.100 c=6.234 alpha=90.00 beta=90.00 gamma=90.00
Sites, in units of the cell vectors:
Rb1 0.687 0.813 0.500
Al1 0.869 0.631 0.000
Al2 0.369 0.869 0.000
Al3 0.131 0.369 0.000
Ag1 0.500 0.500 0.000
Rb2 0.187 0.687 0.500
Al4 0.631 0.131 0.000
Ag2 0.000 0.000 0.000
Rb3 0.313 0.187 0.500
Rb4 0.813 0.313 0.500


<b>
Rb2Al2Ag after structural relaxation. Source: Alexandria, functional GGA-PBE.

Unit cell a=11.056 b=11.056 c=3.153 alpha=90.00 beta=90.00 gamma=90.00
Sites, in units of the cell vectors:
Al1 0.581 0.919 0.500
Rb1 0.207 0.293 0.000
Ag1 0.500 0.500 0.000
Rb2 0.293 0.793 0.000
Al2 0.081 0.581 0.500
Rb3 0.707 0.207 0.000
Rb4 0.793 0.707 0.000
Al3 0.919 0.419 0.500
Ag2 0.000 0.000 0.000
Al4 0.419 0.081 0.500


<c>
Rb2Al2Ag after structural relaxation. Source: Alexandria, functional GGA-PBE.

Unit cell a=3.937 b=3.937 c=11.621 alpha=80.25 beta=80.25 gamma=90.00
Sites, in units of the cell vectors:
Rb1 0.398 0.398 0.203
Al1 0.750 0.250 0.500
Rb2 0.602 0.602 0.797
Ag1 0.000 0.000 0.000
Al2 0.250 0.750 0.500


<c> has the most favorable energy; the next structure is 1.5 kJ/mol of atoms above.


<a>
Rb2AlAg2 after structural relaxation. Source: Alexandria, functional GGA-PBE.

Unit cell a=4.689 b=4.689 c=11.205 alpha=77.92 beta=77.92 gamma=60.00
Sites, in units of the cell vectors:
Ag1 0.678 0.678 0.966
Ag2 0.322 0.322 0.034
Rb1 0.573 0.573 0.282
Al1 0.000 0.000 0.000
Rb2 0.427 0.427 0.718


<b>
Rb2AlAg2 after structural relaxation. Source: Alexandria, functional GGA-PBE.

Unit cell a=7.268 b=7.268 c=5.941 alpha=90.00 beta=90.00 gamma=90.00
Sites, in units of the cell vectors:
Al1 0.000 0.000 0.000
Rb1 0.824 0.324 0.500
Ag1 0.146 0.354 0.000
Rb2 0.676 0.824 0.500
Al2 0.500 0.500 0.000
Ag2 0.854 0.646 0.000
Ag3 0.354 0.854 0.000
Rb3 0.324 0.176 0.500
Ag4 0.646 0.146 0.000
Rb4 0.176 0.676 0.500


<a> has the most favorable energy; the next structure is 19.2 kJ/mol of atoms above.


<a>
Al2AgRh2 after structural relaxation. Source: Alexandria, functional GGA-PBE.

Unit cell a=7.171 b=7.171 c=2.902 alpha=90.00 beta=90.00 gamma=90.00
Sites, in units of the cell vectors:
Al1 0.141 0.359 0.000
Ag1 0.500 0.500 0.000
Rh1 0.654 0.846 0.500
Rh2 0.154 0.654 0.500
Ag2 0.000 0.000 0.000
Al2 0.359 0.859 0.000
Rh3 0.846 0.346 0.500
Al3 0.859 0.641 0.000
Al4 0.641 0.141 0.000
Rh4 0.346 0.154 0.500


<b>
Al2AgRh2 after structural relaxation. Source: Alexandria, functional GGA-PBE.

Unit cell a=3.864 b=3.864 c=6.245 alpha=71.98 beta=71.98 gamma=90.00
Sites, in units of the cell vectors:
Rh1 0.615 0.615 0.769
Rh2 0.385 0.385 0.231
Al1 0.250 0.750 0.500
Al2 0.750 0.250 0.500
Ag1 0.000 0.000 0.000


<a> has the most favorable energy; the next structure is 33.5 kJ/mol of atoms above.


<a>
AlAg3S after structural relaxation. Source: Alexandria, functional GGA-PBE.

Unit cell a=4.890 b=4.890 c=4.890 alpha=90.00 beta=90.00 gamma=90.00
Sites, in units of the cell vectors:
Ag1 0.000 0.500 0.000
S1 0.000 0.000 0.000
Al1 0.500 0.500 0.500
Ag2 0.500 0.000 0.000
Ag3 0.000 0.000 0.500


<b>
AlAg3S after structural relaxation. Source: Alexandria, functional GGA-PBE.

Unit cell a=4.866 b=4.866 c=4.866 alpha=90.00 beta=90.00 gamma=90.00
Sites, in units of the cell vectors:
Ag1 0.500 0.000 0.000
S1 0.500 0.500 0.500
Ag2 0.000 0.500 0.000
Al1 0.000 0.000 0.000
Ag3 0.000 0.000 0.500


<a> has the most favorable energy; the next structure is 26.3 kJ/mol of atoms above.